TlGe2S: optimized geometry, PBE-GGA.

Cell lengths 4.9344, 4.9344, 4.9344 Å; angles 60.00, 60.00, 60.00 degrees
Closest atoms and distances in Å follow each position.
Element x y z (fractional)
1 S 0.0000 0.0000 0.0000  8 Ge 3.02
2 Tl 0.5000 0.5000 0.5000  8 Ge 3.02
3 Ge 0.2500 0.2500 0.2500  4 S 3.02, 4 Tl 3.02
4 Ge 0.7500 0.7500 0.7500  4 S 3.02, 4 Tl 3.02

Computed properties:
As for the space group: Fm-3m, No. 225. As for the formation energy from raw total energies: 0.41 eV/atom.

TlGeS2: optimized geometry, PBE-GGA.

Cell lengths 3.6364, 3.6364, 8.0854 Å; angles 77.00, 77.00, 60.00 degrees
Closest atoms and distances in Å follow each position.
Element x y z (fractional)
1 Tl 0.4980 0.4980 0.5061  6 S 3.19-3.29
2 Ge 0.6669 0.6669 0.9993  6 S 2.53-2.55
3 S 0.0623 0.0623 0.8132  3 Ge 2.55
4 S 0.2729 0.2729 0.1813  3 Ge 2.53

Computed properties:
As for the space group: R3m, No. 160. As for the formation energy from raw total energies: -0.23 eV/atom.

Tl2GeS2: optimized geometry, PBE-GGA.

Cell lengths 6.5760, 7.2506, 7.9819 Å; angles 104.82, 90.00, 116.97 degrees
Closest atoms and distances in Å follow each position.
Element x y z (fractional)
1 Tl 0.6844 0.3687 0.6584  2 S 2.89-3.21
2 Tl 0.3156 0.6313 0.3416  2 S 2.89-3.21
3 Tl 0.9789 0.9578 0.7621  2 S 2.91-3.00
4 Tl 0.0211 0.0422 0.2379  2 S 2.91-3.00
5 Ge 0.3155 0.6311 0.8377  2 S 2.24-2.29
6 Ge 0.6845 0.3689 0.1623  2 S 2.24-2.29
7 S 0.1590 0.3180 0.6111  1 Ge 2.29
8 S 0.8410 0.6820 0.3889  1 Ge 2.29
9 S 0.5545 0.1091 0.2973  1 Ge 2.24
10 S 0.4455 0.8909 0.7027  1 Ge 2.24

Computed properties:
As for the space group: C2/m, No. 12. As for the formation energy from raw total energies: -0.22 eV/atom.

Tl2GeS3: optimized geometry, PBE-GGA.

Cell lengths 6.7696, 7.3606, 7.3606 Å; angles 65.23, 80.87, 80.87 degrees
Closest atoms and distances in Å follow each position.
Element x y z (fractional)
1 Tl 0.6635 0.1937 0.4881  6 S 3.11-3.44
2 Tl 0.1635 0.4881 0.1937  6 S 3.11-3.44
3 Tl 0.8365 0.5119 0.8063  6 S 3.11-3.44
4 Tl 0.3365 0.8063 0.5119  6 S 3.11-3.44
5 Ge 0.7500 0.9213 0.0787  3 S 2.23-2.25
6 Ge 0.2500 0.0787 0.9213  3 S 2.23-2.25
7 S 0.2500 0.3597 0.6403  1 Ge 2.23
8 S 0.7500 0.6403 0.3597  1 Ge 2.23
9 S 0.9812 0.9265 0.8215  1 Ge 2.25
10 S 0.5188 0.1785 0.0735  1 Ge 2.25
11 S 0.4812 0.8215 0.9265  1 Ge 2.25
12 S 0.0188 0.0735 0.1785  1 Ge 2.25

Computed properties:
As for the space group: C2/c, No. 15. As for the formation energy from raw total energies: -0.34 eV/atom.